Entry from the Alexandria database: SrTcS2 after structural relaxation (GGA-PBE).

Unit cell a=6.633 b=6.633 c=6.633 alpha=90.00 beta=90.00 gamma=90.00
Space group Fm-3m (No. 225)
Unique sites:
Sr  0.000  0.000  0.000 (multiplicity 4)
Tc  0.000  0.000  0.500 (multiplicity 4)
S  0.250  0.250  0.250 (multiplicity 8)

Total magnetic moment in Bohr magnetons per cell: 4.00
Raw formation energy in eV per atom: -0.3925
Calculated density in g/cm3: 5.7